No. 1
Compound: Ac2Bi3Pd4
Source: Alexandria via LeMat-Bulk
Functional: PBE
Structure: optimized geometry

abc: 9.244 9.244 7.739
angles: 90.00 90.00 136.98
Sites, in units of the cell vectors:
Ac1 0.108 0.892 0.920
Ac2 0.392 0.608 0.420
Ac3 0.608 0.392 0.580
Ac4 0.892 0.108 0.080
Bi1 0.000 0.000 0.500
Bi2 0.015 0.485 0.750
Bi3 0.485 0.015 0.250
Bi4 0.500 0.500 0.000
Bi5 0.515 0.985 0.750
Bi6 0.985 0.515 0.250
Pd1 0.169 0.831 0.519
Pd2 0.185 0.315 0.750
Pd3 0.315 0.185 0.250
Pd4 0.331 0.669 0.019
Pd5 0.669 0.331 0.981
Pd6 0.685 0.815 0.750
Pd7 0.815 0.685 0.250
Pd8 0.831 0.169 0.481

Space-group type   No. 64
DFT formation energy   -624 meV/atom

No. 2
Compound: Ac3BiPd8
Source: Alexandria via LeMat-Bulk
Functional: PBE
Structure: optimized geometry

abc: 9.746 9.746 9.746
angles: 34.12 34.12 34.12
Sites, in units of the cell vectors:
Ac1 0.000 0.000 0.000
Ac2 0.133 0.133 0.133
Ac3 0.527 0.527 0.527
Bi1 0.657 0.657 0.657
Pd1 0.073 0.073 0.564
Pd2 0.073 0.564 0.073
Pd3 0.084 0.571 0.571
Pd4 0.322 0.322 0.322
Pd5 0.564 0.073 0.073
Pd6 0.571 0.084 0.571
Pd7 0.571 0.571 0.084
Pd8 0.823 0.823 0.823

Space-group type   No. 160
DFT formation energy   -690 meV/atom